No. 1
## Zr3CdH (PBE)

Data for Zr3CdH after structural relaxation.

POSCAR file:
```
Zr3CdH
1.0
-2.740 -0.601 5.320
0.534 -5.977 -0.400
3.685 -3.028 4.955
Zr Cd H
6 2 2
Cartesian
1.058 -6.064 1.604
0.126 -3.222 3.100
-0.276 -6.357 4.194
2.595 -4.628 4.213
1.353 -6.384 6.774
2.855 -7.539 4.018
-1.326 -3.527 5.717
1.168 -3.391 7.017
0.000 0.000 0.000
1.558 -6.147 3.507
```

* total DFT energy (no corrections): -5.966 eV per atom
* total magnetization: 0.00 μB/atom
* V: 19.55 A^3/atom
* polymorph energy (0 for the lowest one): 0.2574 eV/atom

No. 2
## SiAgAs2F (PBE)

Data for SiAgAs2F after structural relaxation.

POSCAR file:
```
SiAgAs2F
1.0
-2.417 3.604 -2.422
-3.289 -3.329 -1.672
-2.062 0.574 2.912
F Ag As Si
1 1 2 1
Cartesian
-1.031 0.287 1.456
-3.884 0.425 -0.591
-1.209 1.802 -1.211
-1.645 -1.665 -0.836
0.000 0.000 0.000
```

* total DFT energy (no corrections): -4.130 eV per atom
* total magnetization: 0.00 μB/atom
* V: 17.85 A^3/atom
* uncorrected formation energy: -0.2414 eV/atom

No. 3
## CeNd2Zn6 (PBE)

Data for CeNd2Zn6 after structural relaxation.

POSCAR file:
```
CeNd2Zn6
1.0
-1.423 -3.046 1.092
-0.255 -2.576 -7.521
6.430 -1.401 4.468
Zn Nd Ce
6 2 1
Cartesian
1.174 -4.566 -5.488
5.548 -4.643 -0.004
3.578 -2.458 3.526
3.408 -4.177 -1.491
1.344 -2.847 -0.470
-0.796 -2.381 -1.958
4.201 -1.793 0.472
0.550 -5.231 -2.433
6.430 -1.401 4.468
```

* E_form: -0.32 eV/atom
* total DFT energy (no corrections): -2.889 eV per atom
* total magnetization: 0.14 μB/atom
* V: 21.52 A^3/atom

No. 4
## HgMo2 (PBE)

Data for HgMo2 after structural relaxation.

POSCAR file:
```
HgMo2
1.0
-4.062 -2.952 0.006
-1.819 -1.517 4.427
1.087 3.798 -3.099
Hg Mo
1 2
Cartesian
0.000 0.000 0.000
-1.963 -1.492 1.479
-3.918 -2.977 2.953
```

* E_form: 0.49 eV/atom
* total DFT energy (no corrections): -6.833 eV per atom
* total magnetization: 0.00 μB/atom
* V: 17.20 A^3/atom
* polymorph energy (0 for the lowest one): 0.0847 eV/atom

No. 5
## Pr3Ga2Au7 (PBE)

Data for Pr3Ga2Au7 after structural relaxation.

POSCAR file:
```
Pr3Ga2Au7
1.0
-1.138 -4.187 0.231
3.737 -1.121 -1.912
4.996 1.655 13.730
Au Pr Ga
7 3 2
Cartesian
2.878 -0.721 1.112
0.000 0.000 0.000
4.813 -3.211 6.354
4.717 -2.932 10.938
0.441 -2.253 2.183
7.154 -1.399 9.866
2.782 -0.441 5.696
3.483 -3.000 3.630
4.112 -0.652 8.420
1.300 -2.654 -0.840
5.950 -3.391 8.680
1.646 -0.261 3.370
```

* E_form: -0.55 eV/atom
* total DFT energy (no corrections): -4.162 eV per atom
* total magnetization: 0.00 μB/atom
* V: 22.62 A^3/atom

No. 6
## HfCd3Si (PBE)

Data for HfCd3Si after structural relaxation.

POSCAR file:
```
HfCd3Si
1.0
-2.899 3.937 -0.975
-1.206 -1.982 -4.413
-3.872 -2.330 2.105
Hf Cd Si
1 3 1
Cartesian
-3.989 -0.188 -1.641
-1.936 -1.165 1.053
-1.450 1.968 -0.488
-0.603 -0.991 -2.206
0.000 0.000 0.000
```

* total DFT energy (no corrections): -2.802 eV per atom
* total magnetization: 0.00 μB/atom
* V: 24.78 A^3/atom
* polymorph energy (0 for the lowest one): 0.0000 eV/atom
* uncorrected formation energy: 0.8219 eV/atom

No. 7
## Li2LaYS4 (PBE)

Data for Li2LaYS4 after structural relaxation.

POSCAR file:
```
Li2LaYS4
1.0
4.036 0.000 0.000
0.000 7.004 0.111
0.000 -2.440 6.147
Li Y S La
2 1 4 1
Cartesian
0.000 2.282 3.129
2.018 -1.220 3.074
2.018 3.502 0.055
0.000 -0.010 4.625
0.000 4.574 1.633
2.018 1.225 1.601
2.018 3.339 4.657
0.000 0.000 0.000
```

* total DFT energy (no corrections): -5.798 eV per atom
* total magnetization: 0.00 μB/atom
* V: 21.85 A^3/atom
* uncorrected formation energy: -1.8320 eV/atom

No. 8
## KRb3Pb2F9 (PBE)

Data for KRb3Pb2F9 after structural relaxation.

POSCAR file:
```
KRb3Pb2F9
1.0
-5.378 -4.105 -0.862
6.061 -2.630 1.691
-1.897 0.796 8.036
F Rb Pb K
9 3 2 1
Cartesian
-4.596 -3.305 4.993
-2.117 -1.413 5.391
-2.689 -2.053 -0.431
3.383 -2.633 3.872
0.904 -4.526 3.474
0.589 -1.421 3.092
0.342 -3.368 0.414
3.031 -1.315 0.846
-1.802 -4.518 5.773
-2.265 -3.320 2.955
1.052 -2.619 5.911
0.000 0.000 0.000
1.941 -2.993 2.142
-3.154 -2.946 6.723
-0.948 0.398 4.018
```

* total DFT energy (no corrections): -4.386 eV per atom
* total magnetization: 0.00 μB/atom
* V: 22.28 A^3/atom
* uncorrected formation energy: -2.5017 eV/atom